BaCrGeO6 | PBE+U | relaxed

Cell lengths 5.0764, 5.0765, 5.7486 Å; angles 90.00, 90.00, 60.00 degrees
With the nearest neighbours (Å) after each atom.
Fractional positions:
Cr 0.6666 0.6667 0.4766  6 O 1.79-1.92
Ge 0.3333 0.3333 0.5211  6 O 1.87-1.97
O 0.5994 0.4144 0.6898  1 Ge 1.87, 1 Cr 1.92
O 0.9862 0.5994 0.6898  1 Ge 1.87, 1 Cr 1.92
O 0.3990 0.6066 0.3161  1 Cr 1.79, 1 Ge 1.97
O 0.6066 0.9943 0.3161  1 Cr 1.79, 1 Ge 1.97
Ba 0.0000 0.0000 0.9846  6 O 2.67-2.77
O 0.9943 0.3991 0.3161  1 Cr 1.79, 1 Ge 1.97
O 0.4143 0.9862 0.6898  1 Ge 1.87, 1 Cr 1.92

Crystal system   trigonal
VASP energy   -6.53 eV per atom